18
Lattice="-1.943 6.157 -2.210 -1.485 -1.966 6.364 10.954 4.920 4.075" Properties=species:S:1:pos:R:3 comment="LiMgInBr6 | Alexandria | GGA-PBE | optimized geometry" space_group="P-31c, No. 163" n_ef_per_ev_atom=0.000 formation_energy_uncorrected_ev_per_atom=-1.16 rho_g_cm3=4.1 dft_energy_ev_per_atom=-2.97 magmom_total_mub_per_fu=0.00 pbc="T T T"
Li 0.000 0.000 0.000
Li 5.477 2.460 2.038
Mg 1.101 1.971 4.525
Mg 6.426 7.139 3.705
In 0.948 4.679 1.667
In 6.578 4.431 6.563
Br -0.828 3.355 3.248
Br 0.885 -0.035 2.738
Br 6.203 5.235 1.810
Br 6.642 9.145 5.492
Br 2.879 3.271 2.970
Br 3.092 0.560 5.670
Br 8.270 8.309 2.125
Br 1.324 3.876 6.419
Br 4.435 8.551 2.560
Br -0.743 0.802 6.104
Br 4.648 5.840 5.260
Br 8.355 5.755 4.981

---

4
Lattice="-3.308 0.303 -3.248 -3.036 -1.017 2.997 0.968 5.514 2.852" Properties=species:S:1:pos:R:3 comment="PrYInSn | Alexandria | GGA-PBE | optimized geometry" space_group="Amm2, No. 38" n_ef_per_ev_atom=0.913 rho_g_cm3=6.5 dft_energy_ev_per_atom=-5.13 relative_energy_mev_per_atom=0.0 e_form_ev_per_atom=-0.6379 magmom_total_mub_per_fu=0.00 pbc="T T T"
Pr -3.669 3.749 0.764
Y -0.187 1.545 0.335
In -0.570 4.704 1.019
Sn -3.290 0.620 0.086

---

10
Lattice="-2.512 -5.597 -1.170 4.964 -1.305 -4.415 0.232 -5.909 2.008" Properties=species:S:1:pos:R:3 comment="TiPdPt3 | Alexandria | GGA-PBE | optimized geometry" space_group="Cmcm, No. 63" n_ef_per_ev_atom=0.437 rho_g_cm3=14.7 dft_energy_ev_per_atom=-6.67 relative_energy_mev_per_atom=0.0 e_form_ev_per_atom=-0.4271 magmom_total_mub_per_fu=0.00 pbc="T T T"
Ti 1.327 -9.528 -3.477
Ti 1.357 -3.283 -0.100
Pd 2.160 -5.327 -3.783
Pd 0.524 -7.484 0.207
Pt 2.212 -5.526 -1.058
Pt 0.472 -7.285 -2.518
Pt 2.943 -7.935 -4.716
Pt -0.259 -4.876 1.139
Pt 3.007 -8.134 -2.001
Pt -0.323 -4.678 -1.576

---

14
Lattice="-4.027 0.266 5.117 -5.112 -0.666 -3.988 0.360 -6.478 0.620" Properties=species:S:1:pos:R:3 comment="HoCr3Tc3 | Alexandria | GGA-PBE | optimized geometry" space_group="Pm-3n, No. 223" n_ef_per_ev_atom=0.791 rho_g_cm3=7.4 dft_energy_ev_per_atom=-8.27 e_form_ev_per_atom=0.9513 magmom_total_mub_per_fu=2.73 pbc="T T T"
Cr -0.827 -3.172 1.589
Cr -2.466 -1.952 -1.839
Cr -5.847 -0.366 -0.433
Cr -2.841 -3.039 4.148
Cr -2.286 -5.191 -1.529
Cr -3.292 -0.033 1.562
Ho -4.390 -3.439 0.875
Ho 0.000 0.000 0.000
Tc -1.098 -3.405 -0.687
Tc -3.654 -3.738 -2.681
Tc -1.744 -4.725 3.024
Tc -5.576 -0.133 1.844
Tc -1.924 -1.486 2.714
Tc -3.563 -0.266 -0.715

---

5
Lattice="-3.951 -1.965 -2.964 3.364 -3.502 -2.163 -1.153 -3.484 3.847" Properties=species:S:1:pos:R:3 comment="Pm3VBi | Alexandria | GGA-PBE | optimized geometry" space_group="Pm-3m, No. 221" n_ef_per_ev_atom=1.114 rho_g_cm3=7.7 dft_energy_ev_per_atom=-5.33 e_form_ev_per_atom=0.1214 magmom_total_mub_per_fu=0.00 pbc="T T T"
V 0.000 0.000 0.000
Bi -0.870 -4.476 -0.641
Pm 1.682 -1.751 -1.082
Pm -0.576 -1.742 1.923
Pm -1.976 -0.983 -1.482

---

8
Lattice="-2.830 3.747 1.795 -2.454 -2.543 1.440 5.376 -0.176 8.844" Properties=species:S:1:pos:R:3 comment="HoMgZr2 | Alexandria | GGA-PBE | optimized geometry" space_group="Pmma, No. 51" n_ef_per_ev_atom=1.171 rho_g_cm3=6.2 dft_energy_ev_per_atom=-5.80 relative_energy_mev_per_atom=0.0 e_form_ev_per_atom=0.0206 magmom_total_mub_per_fu=0.00 pbc="T T T"
Ho 1.302 2.698 6.981
Ho -1.210 -1.670 5.098
Mg 1.444 -0.446 6.727
Mg -1.352 1.474 5.352
Zr 1.510 1.379 10.060
Zr -1.417 -0.352 2.019
Zr 3.960 0.784 8.127
Zr -3.868 0.244 3.952

---

8
Lattice="10.908 0.000 0.000 0.000 10.908 0.000 5.454 5.454 2.430" Properties=species:S:1:pos:R:3 comment="Na2AsW | Alexandria | GGA-PBE | optimized geometry" space_group="I-42d, No. 122" n_ef_per_ev_atom=0.380 rho_g_cm3=3.5 dft_energy_ev_per_atom=-4.25 relative_energy_mev_per_atom=0.0 e_form_ev_per_atom=0.8152 magmom_total_mub_per_fu=3.07 pbc="T T T"
Na 6.311 2.727 0.607
Na 4.597 8.181 0.607
Na 8.181 10.051 1.822
Na 13.635 11.765 1.822
As 5.454 5.454 0.000
As 5.454 10.908 1.215
W 0.000 0.000 0.000
W 10.908 5.454 1.215

---

4
Lattice="-2.875 -1.558 -1.647 -0.641 -1.820 2.841 -5.360 6.660 3.057" Properties=species:S:1:pos:R:3 comment="Tb3Rh | Alexandria | GGA-PBE | optimized geometry" space_group="Pmm2, No. 25" n_ef_per_ev_atom=1.196 rho_g_cm3=8.4 dft_energy_ev_per_atom=-5.51 e_form_ev_per_atom=-0.2019 magmom_total_mub_per_fu=0.00 pbc="T T T"
Rh -5.265 6.542 3.003
Tb -2.835 2.214 2.854
Tb -2.450 -0.829 0.992
Tb -5.473 4.235 1.478